Below is TbPrTlHg after structural relaxation, with properties calculated at the GGA-PBE level.

Computed properties:
**Magnetization**: 0.198 μB per atom
**SG**: F-43m
**Energy of formation**: -419 meV per atom
**Calculated volume**: 113.5 Å³/cell

a b c (Å): 5.435 5.435 5.435
angles (deg): 60.00 60.00 60.00
Positions (direct):
Tb1 0.000 0.000 0.000
Pr1 0.500 0.500 0.500
Tl1 0.750 0.750 0.750
Hg1 0.250 0.250 0.250

Below is Tb3Pr3TlHg2 after structural relaxation, with properties calculated at the GGA-PBE level.

Computed properties:
**Magnetization**: 0.000 μB per atom
**SG**: P-62m
**Energy of formation**: -229 meV per atom
**Calculated volume**: 272.4 Å³/cell

a b c (Å): 8.999 8.999 3.884
angles (deg): 90.00 90.00 120.00
Positions (direct):
Tb1 0.000 0.384 0.000
Tb2 0.384 0.000 0.000
Tb3 0.616 0.616 0.000
Pr1 0.000 0.710 0.500
Pr2 0.290 0.290 0.500
Pr3 0.710 0.000 0.500
Tl1 0.000 0.000 0.000
Hg1 0.333 0.667 0.500
Hg2 0.667 0.333 0.500

Below is Tb2PrTl2Hg2 after structural relaxation, with properties calculated at the GGA-PBE level.

Computed properties:
**Magnetization**: 0.000 μB per atom
**SG**: R-3m
**Energy of formation**: -233 meV per atom
**Calculated volume**: 197.2 Å³/cell

a b c (Å): 9.464 9.464 9.464
angles (deg): 30.81 30.81 30.81
Positions (direct):
Tb1 0.133 0.133 0.133
Tb2 0.867 0.867 0.867
Pr1 0.000 0.000 0.000
Tl1 0.270 0.270 0.270
Tl2 0.730 0.730 0.730
Hg1 0.437 0.437 0.437
Hg2 0.563 0.563 0.563

Below is TbPrTmHg after structural relaxation, with properties calculated at the GGA-PBE level.

Computed properties:
**Magnetization**: 0.000 μB per atom
**SG**: P4mm
**Energy of formation**: -233 meV per atom
**Calculated volume**: 118.4 Å³/cell

a b c (Å): 3.651 3.651 8.882
angles (deg): 90.00 90.00 90.00
Positions (direct):
Tb1 0.000 0.000 0.000
Pr1 0.500 0.500 0.288
Tm1 0.000 0.000 0.572
Hg1 0.500 0.500 0.777

Below is TbPrTmHg after structural relaxation, with properties calculated at the GGA-PBE level.

Computed properties:
**Magnetization**: 0.001 μB per atom
**SG**: F-43m
**Energy of formation**: -71 meV per atom
**Calculated volume**: 115.9 Å³/cell

a b c (Å): 5.473 5.473 5.473
angles (deg): 60.00 60.00 60.00
Positions (direct):
Tb1 0.000 0.000 0.000
Pr1 0.500 0.500 0.500
Tm1 0.750 0.750 0.750
Hg1 0.250 0.250 0.250

Below is Tb2PrTmHg4 after structural relaxation, with properties calculated at the GGA-PBE level.

Computed properties:
**Magnetization**: 0.122 μB per atom
**SG**: R-3m
**Energy of formation**: -467 meV per atom
**Calculated volume**: 212.0 Å³/cell

a b c (Å): 9.270 9.270 9.270
angles (deg): 33.15 33.15 33.15
Positions (direct):
Tb1 0.249 0.249 0.249
Tb2 0.751 0.751 0.751
Pr1 0.000 0.000 0.000
Tm1 0.500 0.500 0.500
Hg1 0.128 0.128 0.128
Hg2 0.379 0.379 0.379
Hg3 0.621 0.621 0.621
Hg4 0.872 0.872 0.872

Below is Tb2PrZn2Hg2 after structural relaxation, with properties calculated at the GGA-PBE level.

Computed properties:
**Magnetization**: 0.000 μB per atom
**SG**: R-3m
**Energy of formation**: -299 meV per atom
**Calculated volume**: 176.5 Å³/cell

a b c (Å): 9.396 9.396 9.396
angles (deg): 29.36 29.36 29.36
Positions (direct):
Tb1 0.127 0.127 0.127
Tb2 0.873 0.873 0.873
Pr1 0.000 0.000 0.000
Zn1 0.253 0.253 0.253
Zn2 0.747 0.747 0.747
Hg1 0.404 0.404 0.404
Hg2 0.596 0.596 0.596

Below is TbPrZnHg after structural relaxation, with properties calculated at the GGA-PBE level.

Computed properties:
**Magnetization**: 0.001 μB per atom
**SG**: P4mm
**Energy of formation**: -402 meV per atom
**Calculated volume**: 103.1 Å³/cell

a b c (Å): 3.688 3.688 7.582
angles (deg): 90.00 90.00 90.00
Positions (direct):
Tb1 0.000 0.000 0.000
Pr1 0.000 0.000 0.534
Zn1 0.500 0.500 0.783
Hg1 0.500 0.500 0.247

Below is TbPrZnHg after structural relaxation, with properties calculated at the GGA-PBE level.

Computed properties:
**Magnetization**: 0.207 μB per atom
**SG**: F-43m
**Energy of formation**: -370 meV per atom
**Calculated volume**: 104.5 Å³/cell

a b c (Å): 5.287 5.287 5.287
angles (deg): 60.00 60.00 60.00
Positions (direct):
Tb1 0.000 0.000 0.000
Pr1 0.500 0.500 0.500
Zn1 0.750 0.750 0.750
Hg1 0.250 0.250 0.250

Below is Pr3TcHg after structural relaxation, with properties calculated at the GGA-PBE level.

Computed properties:
**Magnetization**: 0.000 μB per atom
**SG**: P2_1/m
**Energy of formation**: -144 meV per atom
**Calculated volume**: 294.2 Å³/cell

a b c (Å): 8.751 4.138 8.930
angles (deg): 90.00 114.52 90.00
Positions (direct):
Pr1 0.080 0.250 0.348
Pr2 0.292 0.250 0.952
Pr3 0.414 0.750 0.327
Pr4 0.586 0.250 0.673
Pr5 0.708 0.750 0.048
Pr6 0.920 0.750 0.652
Tc1 0.065 0.750 0.061
Tc2 0.935 0.250 0.939
Hg1 0.300 0.750 0.667
Hg2 0.700 0.250 0.333

Below is Pr3TcHg after structural relaxation, with properties calculated at the GGA-PBE level.

Computed properties:
**Magnetization**: 0.000 μB per atom
**SG**: Pm-3m
**Energy of formation**: 85 meV per atom
**Calculated volume**: 162.2 Å³/cell

a b c (Å): 5.453 5.453 5.453
angles (deg): 90.00 90.00 90.00
Positions (direct):
Pr1 0.000 0.000 0.500
Pr2 0.000 0.500 0.000
Pr3 0.500 0.000 0.000
Tc1 0.000 0.000 0.000
Hg1 0.500 0.500 0.500

Below is Pr2TcHg after structural relaxation, with properties calculated at the GGA-PBE level.

Computed properties:
**Magnetization**: 0.000 μB per atom
**SG**: P4/mmm
**Energy of formation**: -108 meV per atom
**Calculated volume**: 103.2 Å³/cell

a b c (Å): 3.616 3.616 7.896
angles (deg): 90.00 90.00 90.00
Positions (direct):
Pr1 0.000 0.000 0.217
Pr2 0.000 0.000 0.783
Tc1 0.500 0.500 0.000
Hg1 0.500 0.500 0.500

Below is PrHg2Te after structural relaxation, with properties calculated at the GGA-PBE level.

Computed properties:
**Magnetization**: 0.000 μB per atom
**SG**: R-3m
**E_form (uncorrected)**: 0.09 eV/atom
**Calculated volume**: 126.3 Å³/cell

a b c (Å): 11.863 11.863 11.863
angles (deg): 17.12 17.12 17.12
Positions (direct):
Pr1 0.000 0.000 0.000
Hg1 0.089 0.089 0.089
Hg2 0.911 0.911 0.911
Te1 0.500 0.500 0.500

Below is Pr6Hg5Te after structural relaxation, with properties calculated at the GGA-PBE level.

Computed properties:
**Magnetization**: 0.000 μB per atom
**SG**: Immm
**E_form (uncorrected)**: -0.59 eV/atom
**Calculated volume**: 347.2 Å³/cell

a b c (Å): 9.525 9.525 9.525
angles (deg): 146.52 132.71 59.18
Positions (direct):
Pr1 0.082 0.334 0.748
Pr2 0.247 0.000 0.247
Pr3 0.413 0.666 0.748
Pr4 0.587 0.334 0.252
Pr5 0.753 0.000 0.753
Pr6 0.918 0.666 0.252
Hg1 0.179 0.179 0.000
Hg2 0.335 0.835 0.500
Hg3 0.500 0.500 0.000
Hg4 0.665 0.165 0.500
Hg5 0.821 0.821 0.000
Te1 0.000 0.500 0.500

Below is Pr3HgTe after structural relaxation, with properties calculated at the GGA-PBE level.

Computed properties:
**Magnetization**: 0.000 μB per atom
**SG**: Pnma
**E_form (uncorrected)**: -0.70 eV/atom
**Calculated volume**: 658.8 Å³/cell

a b c (Å): 7.939 4.709 17.622
angles (deg): 90.00 90.00 90.00
Positions (direct):
Pr1 0.013 0.250 0.111
Pr2 0.129 0.750 0.434
Pr3 0.181 0.250 0.731
Pr4 0.319 0.750 0.231
Pr5 0.371 0.250 0.934
Pr6 0.487 0.750 0.611
Pr7 0.513 0.250 0.389
Pr8 0.629 0.750 0.066
Pr9 0.681 0.250 0.769
Pr10 0.819 0.750 0.269
Pr11 0.871 0.250 0.566
Pr12 0.987 0.750 0.889
Hg1 0.100 0.250 0.304
Hg2 0.400 0.750 0.804
Hg3 0.600 0.250 0.196
Hg4 0.900 0.750 0.696
Te1 0.226 0.750 0.038
Te2 0.274 0.250 0.538
Te3 0.726 0.750 0.462
Te4 0.774 0.250 0.962

Below is Pr3Hg5Te12 after structural relaxation, with properties calculated at the GGA-PBE level.

Computed properties:
**Magnetization**: 0.000 μB per atom
**SG**: Ia-3d
**E_form (uncorrected)**: -0.45 eV/atom
**Calculated volume**: 2878.7 Å³/cell

a b c (Å): 15.522 15.522 15.522
angles (deg): 109.47 109.47 109.47
Positions (direct):
Pr1 0.125 0.250 0.375
Pr2 0.125 0.375 0.750
Pr3 0.250 0.375 0.125
Pr4 0.250 0.875 0.625
Pr5 0.375 0.125 0.250
Pr6 0.375 0.750 0.125
Pr7 0.625 0.250 0.875
Pr8 0.625 0.875 0.750
Pr9 0.750 0.125 0.375
Pr10 0.750 0.625 0.875
Pr11 0.875 0.625 0.250
Pr12 0.875 0.750 0.625
Hg1 0.000 0.000 0.000
Hg2 0.000 0.000 0.500
Hg3 0.000 0.500 0.000
Hg4 0.000 0.500 0.500
Hg5 0.125 0.750 0.875
Hg6 0.125 0.875 0.250
Hg7 0.250 0.125 0.875
Hg8 0.250 0.625 0.375
Hg9 0.375 0.250 0.625
Hg10 0.375 0.625 0.750
Hg11 0.500 0.000 0.000
Hg12 0.500 0.000 0.500
Hg13 0.500 0.500 0.000
Hg14 0.500 0.500 0.500
Hg15 0.625 0.375 0.250
Hg16 0.625 0.750 0.375
Hg17 0.750 0.375 0.625
Hg18 0.750 0.875 0.125
Hg19 0.875 0.125 0.750
Hg20 0.875 0.250 0.125
Te1 0.051 0.224 0.137
Te2 0.051 0.327 0.914
Te3 0.086 0.637 0.413
Te4 0.086 0.949 0.673
Te5 0.087 0.724 0.673
Te6 0.087 0.863 0.414
Te7 0.137 0.051 0.224
Te8 0.137 0.586 0.913
Te9 0.173 0.224 0.587
Te10 0.173 0.449 0.586
Te11 0.224 0.137 0.051
Te12 0.224 0.587 0.173
Te13 0.276 0.327 0.913
Te14 0.276 0.449 0.363
Te15 0.327 0.913 0.276
Te16 0.327 0.914 0.051
Te17 0.363 0.276 0.449
Te18 0.363 0.587 0.914
Te19 0.413 0.086 0.637
Te20 0.413 0.827 0.776
Te21 0.414 0.087 0.863
Te22 0.414 0.827 0.551
Te23 0.449 0.363 0.276
Te24 0.449 0.586 0.173
Te25 0.551 0.414 0.827
Te26 0.551 0.637 0.724
Te27 0.586 0.173 0.449
Te28 0.586 0.913 0.137
Te29 0.587 0.173 0.224
Te30 0.587 0.914 0.363
Te31 0.637 0.413 0.086
Te32 0.637 0.724 0.551
Te33 0.673 0.086 0.949
Te34 0.673 0.087 0.724
Te35 0.724 0.551 0.637
Te36 0.724 0.673 0.087
Te37 0.776 0.413 0.827
Te38 0.776 0.863 0.949
Te39 0.827 0.551 0.414
Te40 0.827 0.776 0.413
Te41 0.863 0.414 0.087
Te42 0.863 0.949 0.776
Te43 0.913 0.137 0.586
Te44 0.913 0.276 0.327
Te45 0.914 0.051 0.327
Te46 0.914 0.363 0.587
Te47 0.949 0.673 0.086
Te48 0.949 0.776 0.863

Below is Pr3Hg2Te after structural relaxation, with properties calculated at the GGA-PBE level.

Computed properties:
**Magnetization**: 0.000 μB per atom
**SG**: Cmmm
**E_form (uncorrected)**: -0.74 eV/atom
**Calculated volume**: 174.6 Å³/cell

a b c (Å): 8.589 8.589 3.930
angles (deg): 90.00 90.00 142.96
Positions (direct):
Pr1 0.000 0.000 0.000
Pr2 0.337 0.663 0.000
Pr3 0.663 0.337 0.000
Hg1 0.179 0.821 0.500
Hg2 0.821 0.179 0.500
Te1 0.500 0.500 0.500

Below is Pr6HgTe5 after structural relaxation, with properties calculated at the GGA-PBE level.

Computed properties:
**Magnetization**: 0.000 μB per atom
**SG**: C2/m
**E_form (uncorrected)**: -1.30 eV/atom
**Calculated volume**: 394.0 Å³/cell

a b c (Å): 7.844 7.844 7.827
angles (deg): 99.61 99.61 119.82
Positions (direct):
Pr1 0.081 0.409 0.745
Pr2 0.244 0.244 0.253
Pr3 0.409 0.081 0.745
Pr4 0.591 0.919 0.255
Pr5 0.756 0.756 0.747
Pr6 0.919 0.591 0.255
Hg1 0.000 0.000 0.500
Te1 0.170 0.830 0.000
Te2 0.335 0.665 0.500
Te3 0.500 0.500 0.000
Te4 0.665 0.335 0.500
Te5 0.830 0.170 0.000

Below is Pr4HgTe after structural relaxation, with properties calculated at the GGA-PBE level.

Computed properties:
**Magnetization**: 0.000 μB per atom
**SG**: Pnma
**E_form (uncorrected)**: -0.57 eV/atom
**Calculated volume**: 791.2 Å³/cell

a b c (Å): 7.649 4.818 21.470
angles (deg): 90.00 90.00 90.00
Positions (direct):
Pr1 0.048 0.250 0.073
Pr2 0.071 0.250 0.785
Pr3 0.088 0.250 0.359
Pr4 0.133 0.250 0.541
Pr5 0.367 0.750 0.041
Pr6 0.412 0.750 0.859
Pr7 0.429 0.750 0.285
Pr8 0.452 0.750 0.573
Pr9 0.548 0.250 0.427
Pr10 0.571 0.250 0.715
Pr11 0.588 0.250 0.141
Pr12 0.633 0.250 0.959
Pr13 0.867 0.750 0.459
Pr14 0.912 0.750 0.641
Pr15 0.929 0.750 0.215
Pr16 0.952 0.750 0.927
Hg1 0.221 0.250 0.933
Hg2 0.279 0.750 0.433
Hg3 0.721 0.250 0.567
Hg4 0.779 0.750 0.067
Te1 0.218 0.250 0.213
Te2 0.282 0.750 0.713
Te3 0.718 0.250 0.287
Te4 0.782 0.750 0.787

Below is PrHgTe2 after structural relaxation, with properties calculated at the GGA-PBE level.

Computed properties:
**Magnetization**: 0.000 μB per atom
**SG**: R-3m
**E_form (uncorrected)**: -0.77 eV/atom
**Calculated volume**: 173.7 Å³/cell

a b c (Å): 9.685 9.685 9.685
angles (deg): 27.74 27.74 27.74
Positions (direct):
Pr1 0.000 0.000 0.000
Hg1 0.500 0.500 0.500
Te1 0.396 0.396 0.396
Te2 0.604 0.604 0.604

Below is Pr5HgTe4 after structural relaxation, with properties calculated at the GGA-PBE level.

Computed properties:
**Magnetization**: 0.000 μB per atom
**SG**: I4/m
**E_form (uncorrected)**: -1.27 eV/atom
**Calculated volume**: 327.3 Å³/cell

a b c (Å): 7.834 7.834 7.834
angles (deg): 99.62 99.62 131.75
Positions (direct):
Pr1 0.000 0.000 0.000
Pr2 0.204 0.600 0.804
Pr3 0.400 0.204 0.604
Pr4 0.600 0.796 0.396
Pr5 0.796 0.400 0.196
Hg1 0.500 0.500 0.000
Te1 0.097 0.302 0.399
Te2 0.302 0.903 0.204
Te3 0.698 0.097 0.796
Te4 0.903 0.698 0.601

Number 1: raw total energy -3.4383 eV/atom. Number 2: raw total energy -3.6957 eV/atom. Number 3: raw total energy -3.0007 eV/atom. Number 4: raw total energy -3.7792 eV/atom. Number 5: raw total energy -3.6165 eV/atom. Number 6: raw total energy -2.9316 eV/atom. Number 7: raw total energy -2.7546 eV/atom. Number 8: raw total energy -3.1481 eV/atom. Number 9: raw total energy -3.1165 eV/atom. Number 10: raw total energy -5.1452 eV/atom. Number 11: raw total energy -4.9158 eV/atom. Number 12: raw total energy -5.1644 eV/atom. Number 13: raw total energy -2.0435 eV/atom. Number 14: raw total energy -3.3715 eV/atom. Number 15: raw total energy -4.2595 eV/atom. Number 16: raw total energy -3.1257 eV/atom. Number 17: raw total energy -3.7490 eV/atom. Number 18: raw total energy -5.0271 eV/atom. Number 19: raw total energy -4.3327 eV/atom. Number 20: raw total energy -3.6129 eV/atom. Number 21: raw total energy -4.9505 eV/atom.